1.
Ag8P | PBEsol | optimized geometry

Cell: 4.0644 6.3525 6.3525 Å, 84.13 71.34 71.34°
Closest atoms and distances in Å follow each position.
Sites, in units of the cell vectors:
Ag  0.3348  0.0000  0.3304  10 Ag 2.81-2.88, 2 P 2.84
Ag  0.6652  0.0000  0.6696  10 Ag 2.81-2.88, 2 P 2.84
Ag  0.6686  0.3314  0.3314  1 P 2.82, 11 Ag 2.85-2.87
Ag  0.3348  0.3304  0.0000  10 Ag 2.81-2.88, 2 P 2.84
Ag  0.0000  0.3314  0.6686  1 P 2.82, 11 Ag 2.85-2.87
Ag  0.6652  0.6696  0.0000  10 Ag 2.81-2.88, 2 P 2.84
Ag  0.3314  0.6686  0.6686  1 P 2.82, 11 Ag 2.85-2.87
Ag  0.0000  0.6686  0.3314  1 P 2.82, 11 Ag 2.85-2.87
P  0.0000  0.0000  0.0000  12 Ag 2.82-2.84

Results
Electronic total energy = -31.58 eV/f.u.
Magnetization = 0.000 μB per formula unit
Formation enthalpy at 0 K = 78 meV per atom

2.
AgP15 | PBEsol | optimized geometry

Cell: 6.8610 8.8691 10.8063 Å, 101.22 98.85 104.86°
Closest atoms and distances in Å follow each position.
Sites, in units of the cell vectors:
Ag  0.3361  0.7221  0.4974  4 P 2.47-2.57
Ag  0.6639  0.2779  0.5026  4 P 2.47-2.57
P  0.9588  0.5706  0.8357  3 P 2.17-2.23
P  0.0412  0.4294  0.1643  3 P 2.17-2.23
P  0.9413  0.0004  0.6505  3 P 2.20-2.26
P  0.0587  0.9996  0.3495  3 P 2.20-2.26
P  0.9216  0.7689  0.2040  3 P 2.20-2.29
P  0.0785  0.2311  0.7960  3 P 2.20-2.29
P  0.8687  0.5516  0.6302  2 P 2.17-2.19
P  0.1313  0.4484  0.3698  2 P 2.17-2.19
P  0.7732  0.8915  0.7840  3 P 2.20-2.24
P  0.2268  0.1085  0.2160  3 P 2.20-2.24
P  0.7529  0.6814  0.3461  3 P 2.20-2.23
P  0.2471  0.3186  0.6539  3 P 2.20-2.23
P  0.6752  0.5016  0.9135  3 P 2.20-2.23
P  0.3248  0.4984  0.0865  3 P 2.20-2.23
P  0.6771  0.8203  0.0629  3 P 2.21-2.29
P  0.3229  0.1797  0.9371  3 P 2.21-2.29
P  0.6155  0.6568  0.6470  3 P 2.19-2.21
P  0.3845  0.3432  0.3530  3 P 2.19-2.21
P  0.6086  0.2386  0.8623  3 P 2.20-2.22
P  0.3914  0.7614  0.1377  3 P 2.20-2.22
P  0.5423  0.8352  0.3459  3 P 2.22-2.31
P  0.4577  0.1648  0.6541  3 P 2.22-2.31
P  0.4341  0.5548  0.7795  3 P 2.20-2.23
P  0.5659  0.4452  0.2205  3 P 2.20-2.23
P  0.3043  0.9251  0.8587  3 P 2.20-2.23
P  0.6957  0.0749  0.1413  3 P 2.20-2.23
P  0.2288  0.9202  0.6492  3 P 2.23-2.31, 1 Ag 2.50
P  0.7712  0.0798  0.3508  3 P 2.23-2.31, 1 Ag 2.50
P  0.0113  0.8310  0.9158  3 P 2.20-2.24
P  0.9887  0.1690  0.0842  3 P 2.20-2.24

Results
Electronic total energy = -89.78 eV/f.u.
Magnetization = 0.000 μB per formula unit
Formation enthalpy at 0 K = 25 meV per atom

3.
AgP | PBEsol | optimized geometry

Cell: 2.9436 2.9436 8.2868 Å, 90.00 90.00 116.07°
Closest atoms and distances in Å follow each position.
Sites, in units of the cell vectors:
Ag  0.2500  0.7500  0.1366  2 P 2.70, 6 Ag 2.75-2.94
Ag  0.7500  0.2500  0.8634  2 P 2.70, 6 Ag 2.75-2.94
P  0.2500  0.7500  0.5977  2 P 2.25
P  0.7500  0.2500  0.4023  2 P 2.25

Results
Electronic total energy = -8.37 eV/f.u.
Magnetization = 0.000 μB per formula unit
Energy relative to the lowest polymorph listed for this composition = 269 meV/atom
Formation enthalpy at 0 K = 365 meV per atom

4.
AgP | PBEsol | optimized geometry

Cell: 3.2359 4.2274 5.5991 Å, 112.18 90.00 90.00°
Closest atoms and distances in Å follow each position.
Sites, in units of the cell vectors:
Ag  0.2500  0.6894  0.3789  2 P 2.44
Ag  0.7500  0.3106  0.6211  2 P 2.44
P  0.2500  0.0715  0.1431  2 P 2.20, 2 Ag 2.44
P  0.7500  0.9285  0.8569  2 P 2.20, 2 Ag 2.44

Results
Electronic total energy = -8.91 eV/f.u.
Magnetization = 0.000 μB per formula unit
Energy relative to the lowest polymorph listed for this composition = 0 meV/atom
Formation enthalpy at 0 K = 96 meV per atom